No. 1
Density functional theory data (PBE) for crystalline ZrZnCoBi at its relaxed geometry.

Unit cell a=6.6771 b=6.6771 c=6.6771 alpha=90.00 beta=90.00 gamma=90.00
Closest atoms and distances in Å follow each position.
Space group F-43m (No. 216)
One atom of each set of equivalent atoms:
Zr 0.0000 0.0000 0.0000 [4 per cell]  4 Bi 2.89, 4 Zn 2.89
Zn 0.2500 0.2500 0.7500 [4 per cell]  4 Zr 2.89, 4 Co 2.89
Co 0.0000 0.0000 0.5000 [4 per cell]  4 Bi 2.89, 4 Zn 2.89
Bi 0.2500 0.2500 0.2500 [4 per cell]  4 Zr 2.89, 4 Co 2.89

Results
E above lowest polymorph, kJ per mole of atoms: 17.8
Crystal system: cubic
DFT total energy, eV for the cell shown: -79.932

No. 2
Density functional theory data (PBE) for crystalline ZrZnCoBi at its relaxed geometry.

Unit cell a=6.6562 b=6.6562 c=6.6562 alpha=90.00 beta=90.00 gamma=90.00
Closest atoms and distances in Å follow each position.
Space group F-43m (No. 216)
One atom of each set of equivalent atoms:
Zr 0.0000 0.0000 0.0000 [4 per cell]  4 Co 2.88, 4 Zn 2.88
Zn 0.2500 0.2500 0.2500 [4 per cell]  4 Zr 2.88, 4 Bi 2.88
Co 0.2500 0.2500 0.7500 [4 per cell]  4 Zr 2.88, 4 Bi 2.88
Bi 0.0000 0.0000 0.5000 [4 per cell]  4 Co 2.88, 4 Zn 2.88

Results
E above lowest polymorph, kJ per mole of atoms: 0.0
Crystal system: cubic
DFT total energy, eV for the cell shown: -82.884

No. 3
Density functional theory data (PBE) for crystalline Zr6CoBi2 at its relaxed geometry.

Unit cell a=7.9443 b=7.9443 c=3.6587 alpha=90.00 beta=90.00 gamma=120.00
Closest atoms and distances in Å follow each position.
Space group P-62m (No. 189)
One atom of each set of equivalent atoms:
Zr 0.0000 0.3918 0.0000 [3 per cell]  4 Bi 3.06, 1 Co 3.11, 4 Zr 3.27
Zr 0.0000 0.7644 0.5000 [3 per cell]  2 Co 2.62
Co 0.0000 0.0000 0.0000 [1 per cell]  6 Zr 2.62
Bi 0.3333 0.6667 0.5000 [2 per cell]  9 Zr 3.06-3.11

Results
Crystal system: hexagonal
DFT total energy, eV for the cell shown: -69.774

No. 4
Density functional theory data (PBE) for crystalline Zr3Co4Bi4 at its relaxed geometry.

Unit cell a=6.2138 b=6.2138 c=12.3714 alpha=90.00 beta=90.00 gamma=90.00
Closest atoms and distances in Å follow each position.
Space group I-42m (No. 121)
One atom of each set of equivalent atoms:
Zr 0.0000 0.0000 0.0000 [2 per cell]  4 Co 2.67
Zr 0.0000 0.5000 0.2500 [4 per cell]  4 Co 2.69
Co 0.2471 0.2471 0.1252 [8 per cell]  4 Bi 2.65-2.72, 3 Zr 2.67-2.69
Bi 0.0000 0.0000 0.2580 [4 per cell]  4 Co 2.65-2.72
Bi 0.0000 0.5000 0.0000 [4 per cell]  4 Co 2.69

Results
Crystal system: tetragonal
DFT total energy, eV for the cell shown: -143.844

No. 5
Density functional theory data (PBE) for crystalline ZrCoBi at its relaxed geometry.

Unit cell a=7.0997 b=7.0997 c=3.9323 alpha=90.00 beta=90.00 gamma=120.00
Closest atoms and distances in Å follow each position.
Space group P-62m (No. 189)
One atom of each set of equivalent atoms:
Zr 0.0000 0.6103 0.0000 [3 per cell]  5 Co 2.77-2.95, 2 Bi 3.08
Co 0.0000 0.0000 0.0000 [1 per cell]  3 Zr 2.77, 6 Bi 2.78
Co 0.3333 0.6667 0.5000 [2 per cell]  3 Bi 2.59
Bi 0.0000 0.2768 0.5000 [3 per cell]  4 Co 2.59-2.78

Results
Crystal system: hexagonal
DFT total energy, eV for the cell shown: -60.530

No. 6
Density functional theory data (PBE) for crystalline ZrCoBi2 at its relaxed geometry.

Unit cell a=7.1337 b=7.1337 c=7.1337 alpha=90.00 beta=90.00 gamma=90.00
Closest atoms and distances in Å follow each position.
Space group F-43m (No. 216)
One atom of each set of equivalent atoms:
Zr 0.0000 0.0000 0.0000 [4 per cell]  4 Co 3.09, 4 Bi 3.09
Co 0.2500 0.2500 0.2500 [4 per cell]  4 Zr 3.09, 4 Bi 3.09
Bi 0.0000 0.0000 0.5000 [4 per cell]  4 Co 3.09, 4 Bi 3.09
Bi 0.2500 0.2500 0.7500 [4 per cell]  4 Zr 3.09, 4 Bi 3.09

Results
Crystal system: cubic
DFT total energy, eV for the cell shown: -87.822

No. 7
Density functional theory data (PBE) for crystalline ZrCo2Bi at its relaxed geometry.

Unit cell a=6.4986 b=6.4986 c=6.4986 alpha=90.00 beta=90.00 gamma=90.00
Closest atoms and distances in Å follow each position.
Space group F-43m (No. 216)
One atom of each set of equivalent atoms:
Zr 0.0000 0.0000 0.0000 [4 per cell]  4 Co 2.81, 4 Bi 2.81
Co 0.0000 0.0000 0.5000 [4 per cell]  4 Co 2.81, 4 Bi 2.81
Co 0.2500 0.2500 0.2500 [4 per cell]  4 Zr 2.81, 4 Co 2.81
Bi 0.2500 0.2500 0.7500 [4 per cell]  4 Zr 2.81, 4 Co 2.81

Results
Crystal system: cubic
DFT total energy, eV for the cell shown: -101.824

No. 8
Density functional theory data (PBE) for crystalline ZrCoBi at its relaxed geometry.

Unit cell a=8.0671 b=8.0671 c=3.2134 alpha=90.00 beta=90.00 gamma=120.00
Closest atoms and distances in Å follow each position.
Space group P-62m (No. 189)
One atom of each set of equivalent atoms:
Zr 0.0000 0.3006 0.0000 [3 per cell]  4 Bi 2.83-2.91, 4 Co 3.07
Co 0.0000 0.6553 0.5000 [3 per cell]  5 Bi 2.78-3.09, 4 Zr 3.07
Bi 0.0000 0.0000 0.5000 [1 per cell]  3 Co 2.78, 6 Zr 2.91
Bi 0.3333 0.6667 0.0000 [2 per cell]  3 Zr 2.83, 6 Co 3.09

Results
Crystal system: hexagonal
DFT total energy, eV for the cell shown: -56.293

No. 9
Density functional theory data (PBE) for crystalline ZrCoBi at its relaxed geometry.

Unit cell a=6.8357 b=6.8357 c=4.2730 alpha=90.00 beta=90.00 gamma=120.00
Closest atoms and distances in Å follow each position.
Space group P-62m (No. 189)
One atom of each set of equivalent atoms:
Zr 0.0000 0.5660 0.0000 [3 per cell]  5 Bi 2.94-2.97, 2 Co 3.06
Co 0.0000 0.2446 0.5000 [3 per cell]  4 Bi 2.63-2.71, 2 Co 2.90
Bi 0.0000 0.0000 0.0000 [1 per cell]  6 Co 2.71, 3 Zr 2.97
Bi 0.3333 0.6667 0.5000 [2 per cell]  3 Co 2.63, 6 Zr 2.94

Results
Crystal system: hexagonal
DFT total energy, eV for the cell shown: -59.483

No. 10
Density functional theory data (PBE) for crystalline CsCuBi at its relaxed geometry.

Unit cell a=7.8059 b=7.8059 c=7.8059 alpha=90.00 beta=90.00 gamma=90.00
Closest atoms and distances in Å follow each position.
Space group F-43m (No. 216)
One atom of each set of equivalent atoms:
Cs 0.0000 0.0000 0.0000 [4 per cell]  4 Bi 3.38
Cu 0.0000 0.0000 0.5000 [4 per cell]  4 Bi 3.38
Bi 0.2500 0.2500 0.2500 [4 per cell]  4 Cu 3.38, 4 Cs 3.38

Results
E above lowest polymorph, kJ per mole of atoms: 21.1
Crystal system: cubic
DFT total energy, eV for the cell shown: -26.667

No. 11
Density functional theory data (PBE) for crystalline CsCuBi at its relaxed geometry.

Unit cell a=8.1331 b=8.1331 c=8.1331 alpha=90.00 beta=90.00 gamma=90.00
Closest atoms and distances in Å follow each position.
Space group F-43m (No. 216)
One atom of each set of equivalent atoms:
Cs 0.0000 0.0000 0.0000 [4 per cell]  4 Bi 3.52, 4 Cu 3.52
Cu 0.2500 0.2500 0.2500 [4 per cell]  4 Cs 3.52
Bi 0.2500 0.2500 0.7500 [4 per cell]  4 Cs 3.52

Results
E above lowest polymorph, kJ per mole of atoms: 62.1
Crystal system: cubic
DFT total energy, eV for the cell shown: -21.563

No. 12
Density functional theory data (PBE) for crystalline CsCuBi at its relaxed geometry.

Unit cell a=7.4746 b=7.4746 c=7.4746 alpha=90.00 beta=90.00 gamma=90.00
Closest atoms and distances in Å follow each position.
Space group F-43m (No. 216)
One atom of each set of equivalent atoms:
Cs 0.0000 0.0000 0.0000 [4 per cell]  4 Cu 3.24
Cu 0.2500 0.2500 0.7500 [4 per cell]  4 Cs 3.24, 4 Bi 3.24
Bi 0.0000 0.0000 0.5000 [4 per cell]  4 Cu 3.24

Results
E above lowest polymorph, kJ per mole of atoms: 0.0
Crystal system: cubic
DFT total energy, eV for the cell shown: -29.286